Material: MnCrRuRh
Method: DFT, PBE
State: relaxed

Computed properties:
**E_form**: 31 meV per atom
**E**: -0.324 hartree per atom
**Density**: 9.39 g cm⁻³

a = 4.2688 Å, b = 4.2688 Å, c = 4.2688 Å
α = 60.00°, β = 60.00°, γ = 60.00°
Last column: nearest neighbours and their distance in Å.
Fractional coordinates of all 4 atoms:
Mn 0.0000 0.0000 0.0000  4 Rh 2.61, 4 Ru 2.61
Cr 0.5000 0.5000 0.5000  4 Rh 2.61, 4 Ru 2.61
Ru 0.2500 0.2500 0.2500  4 Cr 2.61, 4 Mn 2.61
Rh 0.7500 0.7500 0.7500  4 Cr 2.61, 4 Mn 2.61



Material: Hf3TcNi
Method: DFT, PBE
State: relaxed

Computed properties:
**E_form**: 781 meV per atom
**E**: -0.309 hartree per atom
**Polymorph energy (0 for the lowest one)**: 262 meV per atom
**Density**: 9.57 g cm⁻³

a = 4.9343 Å, b = 4.9343 Å, c = 4.9343 Å
α = 90.00°, β = 90.00°, γ = 90.00°
Last column: nearest neighbours and their distance in Å.
Fractional coordinates of all 5 atoms:
Hf 0.0000 0.0000 0.5000  2 Tc 2.47
Hf 0.0000 0.5000 0.0000  2 Tc 2.47
Hf 0.5000 0.0000 0.0000  2 Tc 2.47
Tc 0.0000 0.0000 0.0000  6 Hf 2.47
Ni 0.5000 0.5000 0.5000  12 Hf 3.49



Material: ZnCu4
Method: DFT, PBE
State: relaxed

Computed properties:
**E_form**: -52 meV per atom
**E**: -0.132 hartree per atom
**Polymorph energy (0 for the lowest one)**: 0 meV per atom
**Density**: 8.60 g cm⁻³

a = 4.4990 Å, b = 4.4990 Å, c = 4.4990 Å
α = 99.45°, β = 99.45°, γ = 132.18°
Last column: nearest neighbours and their distance in Å.
Fractional coordinates of all 5 atoms:
Zn 0.0000 0.0000 0.0000  12 Cu 2.60
Cu 0.1980 0.5995 0.7975  9 Cu 2.58-2.62, 3 Zn 2.60
Cu 0.4005 0.1980 0.5985  9 Cu 2.58-2.62, 3 Zn 2.60
Cu 0.5995 0.8020 0.4015  9 Cu 2.58-2.62, 3 Zn 2.60
Cu 0.8020 0.4005 0.2025  9 Cu 2.58-2.62, 3 Zn 2.60



Material: Nd6In2Os
Method: DFT, PBE
State: relaxed

Computed properties:
**E_form**: -261 meV per atom
**E**: -0.195 hartree per atom
**Polymorph energy (0 for the lowest one)**: 0 meV per atom
**Density**: 7.87 g cm⁻³

a = 3.9735 Å, b = 8.8609 Å, c = 8.8609 Å
α = 119.61°, β = 90.00°, γ = 90.00°
Last column: nearest neighbours and their distance in Å.
Fractional coordinates of all 9 atoms:
Nd 0.0000 0.0000 0.0000  2 Os 2.89
Nd 0.0000 0.5144 0.7504  2 Os 2.93
Nd 0.0000 0.7504 0.5144  2 Os 2.93
Nd 0.5000 0.1429 0.7529  4 In 3.37-3.39, 1 Os 3.41, 4 Nd 3.62-3.64
Nd 0.5000 0.3594 0.3594  4 In 3.39, 1 Os 3.61, 6 Nd 3.62-3.77
Nd 0.5000 0.7529 0.1429  4 In 3.37-3.39, 1 Os 3.41, 4 Nd 3.62-3.64
In 0.0000 0.0848 0.4210  9 Nd 3.37-3.47
In 0.0000 0.4210 0.0848  9 Nd 3.37-3.47
Os 0.5000 0.7643 0.7643  6 Nd 2.89-2.93



Material: ReGeC3
Method: DFT, PBE
State: relaxed

Computed properties:
**E_form**: 2995 meV per atom
**E**: -0.219 hartree per atom
**Polymorph energy (0 for the lowest one)**: 1175 meV per atom
**Density**: 8.62 g cm⁻³

a = 3.8445 Å, b = 3.8445 Å, c = 3.8445 Å
α = 90.00°, β = 90.00°, γ = 90.00°
Last column: nearest neighbours and their distance in Å.
Fractional coordinates of all 5 atoms:
Re 0.0000 0.0000 0.0000  12 C 2.72
Ge 0.5000 0.5000 0.5000  6 C 1.92
C 0.0000 0.5000 0.5000  2 Ge 1.92
C 0.5000 0.0000 0.5000  2 Ge 1.92
C 0.5000 0.5000 0.0000  2 Ge 1.92



Material: KTl2Rh
Method: DFT, PBE
State: relaxed

Computed properties:
**E_form**: 383 meV per atom
**E**: -0.107 hartree per atom
**Density**: 8.95 g cm⁻³

a = 5.2483 Å, b = 5.2483 Å, c = 5.2483 Å
α = 60.00°, β = 60.00°, γ = 60.00°
Last column: nearest neighbours and their distance in Å.
Fractional coordinates of all 4 atoms:
K 0.0000 0.0000 0.0000  4 Tl 3.21, 4 Rh 3.21
Tl 0.5000 0.5000 0.5000  4 Tl 3.21, 4 Rh 3.21
Tl 0.7500 0.7500 0.7500  4 Tl 3.21, 4 K 3.21
Rh 0.2500 0.2500 0.2500  4 Tl 3.21, 4 K 3.21



no.,calculated volume (Å³/cell)
1,55.00
2,120.14
3,61.69
4,271.25
5,56.82
6,102.22